Record 1
Material: LiW2Br
Method: DFT, PBE
State: optimized geometry

```
data_LiW2Br
_chemical_formula_sum 'Li1 W2 Br1'
_cell_length_a 3.3329
_cell_length_b 3.3329
_cell_length_c 7.6296
_cell_angle_alpha 90.00
_cell_angle_beta 90.00
_cell_angle_gamma 90.00
_space_group_name_H-M_alt 'P 4 m m'
_space_group_IT_number 99
loop_
_space_group_symop_operation_xyz
'x,y,z'
'-y,x,z'
'-x,-y,z'
'y,-x,z'
'-x,y,z'
'y,x,z'
'x,-y,z'
'-y,-x,z'
loop_
_atom_site_label
_atom_site_type_symbol
_atom_site_fract_x
_atom_site_fract_y
_atom_site_fract_z
Li1 Li 0.0000 0.0000 0.0000
W1 W 0.0000 0.0000 0.3815
W2 W 0.5000 0.5000 0.2409
Br1 Br 0.5000 0.5000 0.8838
```

electronic total energy	-28.55	eV per cell
energy relative to the elements, uncorrected	91	kJ/mol of formula units
ΔE to the lowest computed polymorph	10	meV/atom

=====

Record 2
Material: LiWBr2
Method: DFT, PBE
State: optimized geometry

```
data_LiWBr2
_chemical_formula_sum 'Li3 W3 Br6'
_cell_length_a 3.2614
_cell_length_b 3.2614
_cell_length_c 25.1120
_cell_angle_alpha 90.00
_cell_angle_beta 90.00
_cell_angle_gamma 120.00
_space_group_name_H-M_alt 'R -3 m'
_space_group_IT_number 166
_space_group_name_Hall '-R 3 2"'
loop_
_atom_site_label
_atom_site_type_symbol
_atom_site_fract_x
_atom_site_fract_y
_atom_site_fract_z
Li1 Li 0.0000 0.0000 0.0000
W1 W 0.0000 0.0000 0.5000
Br1 Br 0.0000 0.0000 0.4008
```

electronic total energy	-54.16	eV per cell
energy relative to the elements, uncorrected	15	kJ/mol of formula units
ΔE to the lowest computed polymorph	0	meV/atom

=====

Record 3
Material: LiWBr2
Method: DFT, PBE
State: optimized geometry

```
data_LiWBr2
_chemical_formula_sum 'Li2 W2 Br4'
_cell_length_a 5.1564
_cell_length_b 3.2302
_cell_length_c 9.3134
_cell_angle_alpha 90.00
_cell_angle_beta 90.00
_cell_angle_gamma 90.00
_space_group_name_H-M_alt 'A m m 2'
_space_group_IT_number 38
loop_
_space_group_symop_operation_xyz
'x,y,z'
'-x,-y,z'
'-x,y,z'
'x,-y,z'
'x,y+1/2,z+1/2'
'-x,-y+1/2,z+1/2'
'-x,y+1/2,z+1/2'
'x,-y+1/2,z+1/2'
loop_
_atom_site_label
_atom_site_type_symbol
_atom_site_fract_x
_atom_site_fract_y
_atom_site_fract_z
Li1 Li 0.0000 0.0000 0.0000
W1 W 0.5000 0.0000 0.3606
Br1 Br 0.0000 0.0000 0.2936
Br2 Br 0.5000 0.0000 0.6401
```

electronic total energy	-34.40	eV per cell
energy relative to the elements, uncorrected	98	kJ/mol of formula units
ΔE to the lowest computed polymorph	214	meV/atom

=====

What is the ΔE to the lowest computed polymorph in the second record?
0 meV/atom